A plane-wave DFT calculation with PBE-GGA was carried out for a geometry-optimized BaTlIrN2 structure.

Cell lengths 4.390, 4.390, 7.308 Å; angles 90.00, 90.00, 90.00 degrees
Space group P4/mmm (No. 123)
Inequivalent atoms, fractional coordinates:
Ba 0.000 0.000 0.000 (multiplicity 1)
Tl 0.000 0.000 0.500 (multiplicity 1)
Ir 0.500 0.500 0.000 (multiplicity 1)
N 0.000 0.500 0.500 (multiplicity 2)

E: -3.88 eV per atom
Polymorph energy (0 for the lowest one): 537 meV/atom
Crystal system: tetragonal



A plane-wave DFT calculation with PBE-GGA was carried out for a geometry-optimized Hf2Ta2Tl structure.

Cell lengths 7.499, 7.499, 3.845 Å; angles 90.00, 90.00, 90.00 degrees
Space group P4/mbm (No. 127)
Inequivalent atoms, fractional coordinates:
Hf 0.171 0.329 0.000 (multiplicity 4)
Ta 0.123 0.623 0.500 (multiplicity 4)
Tl 0.000 0.000 0.500 (multiplicity 2)

E: -8.89 eV per atom
Energy relative to the elements: 146 kJ/mol of formula units
Crystal system: tetragonal